Compound: AgMoSe
Source: Alexandria
Functional: PBE
Structure: relaxed

Output
relative energy among the computed polymorphs	497.2	meV/atom
ΔE_f (raw)	0.58	eV per atom
crystal system	cubic

Unit cell a=4.3811 b=4.3811 c=4.3811 alpha=60.00 beta=60.00 gamma=60.00
Fractional positions:
Ag1 0.0000 0.0000 0.0000
Mo1 0.2500 0.2500 0.2500
Se1 0.5000 0.5000 0.5000


Compound: Th4Zn2Au5
Source: Alexandria
Functional: PBE
Structure: relaxed

Output
crystal system	monoclinic
ΔE_f	-0.5334	eV/atom

Unit cell a=7.7989 b=3.7358 c=9.0924 alpha=90.00 beta=94.64 gamma=90.00
Fractional positions:
Th1 0.2232 0.0000 0.1362
Th2 0.2691 0.0000 0.6348
Th3 0.7309 0.0000 0.3652
Th4 0.7768 0.0000 0.8638
Zn1 0.0686 0.5000 0.3844
Zn2 0.9314 0.5000 0.6156
Au1 0.1180 0.5000 0.8752
Au2 0.4055 0.5000 0.3600
Au3 0.5000 0.5000 0.0000
Au4 0.5945 0.5000 0.6400
Au5 0.8820 0.5000 0.1248


Compound: ScSnHg
Source: Alexandria
Functional: PBE
Structure: relaxed

Output
crystal system	tetragonal
ΔE_f	-0.3227	eV/atom

Unit cell a=8.1411 b=8.1411 c=8.1411 alpha=148.66 beta=148.66 gamma=44.91
Fractional positions:
Sc1 0.1387 0.1387 0.0000
Sc2 0.8613 0.8613 0.0000
Sn1 0.0000 0.5000 0.5000
Sn2 0.5000 0.0000 0.5000
Hg1 0.3285 0.3285 0.0000
Hg2 0.6715 0.6715 0.0000


Compound: IrCl3
Source: Alexandria
Functional: PBE
Structure: relaxed

Output
ΔE_f (raw)	1.14	eV per atom
crystal system	tetragonal

Unit cell a=4.8492 b=4.8492 c=2.9897 alpha=90.00 beta=90.00 gamma=90.00
Fractional positions:
Ir1 0.0000 0.0000 0.0000
Cl1 0.0000 0.5000 0.5000
Cl2 0.5000 0.0000 0.5000
Cl3 0.5000 0.5000 0.0000


Compound: CsPd2Se2
Source: Alexandria
Functional: PBE
Structure: relaxed

Output
relative energy among the computed polymorphs	206.6	meV/atom
ΔE_f (raw)	-0.33	eV per atom
crystal system	tetragonal

Unit cell a=8.4181 b=8.4181 c=8.4181 alpha=131.27 beta=131.27 gamma=71.38
Fractional positions:
Cs1 0.0000 0.0000 0.0000
Cs2 0.7500 0.2500 0.5000
Pd1 0.3756 0.6650 0.7105
Pd2 0.4150 0.2045 0.7895
Pd3 0.4150 0.6256 0.2105
Pd4 0.9545 0.6650 0.2895
Se1 0.2402 0.4961 0.2560
Se2 0.2402 0.9842 0.7440
Se3 0.2461 0.4902 0.7560
Se4 0.7342 0.4902 0.2440


Compound: Er2TeC2
Source: Alexandria
Functional: PBE
Structure: relaxed

Output
ΔE_f (raw)	-0.71	eV per atom
crystal system	monoclinic

Unit cell a=7.3017 b=7.3017 c=6.9678 alpha=101.33 beta=101.33 gamma=32.65
Fractional positions:
Er1 0.0224 0.6701 0.8612
Er2 0.3299 0.9776 0.6388
Er3 0.6701 0.0224 0.3612
Er4 0.9776 0.3299 0.1388
Te1 0.2970 0.7030 0.2500
Te2 0.7030 0.2970 0.7500
C1 0.1452 0.3952 0.4623
C2 0.3952 0.1452 0.9623
C3 0.6048 0.8548 0.0377
C4 0.8548 0.6048 0.5377


Compound: Cu2SiNi5B2
Source: Alexandria
Functional: PBE
Structure: relaxed

Output
ΔE_f (raw)	-0.24	eV per atom
crystal system	tetragonal

Unit cell a=8.5177 b=8.5177 c=2.7984 alpha=90.00 beta=90.00 gamma=90.00
Fractional positions:
Cu1 0.1781 0.3219 0.0000
Cu2 0.3219 0.8219 0.0000
Cu3 0.6781 0.1781 0.0000
Cu4 0.8219 0.6781 0.0000
Si1 0.0000 0.0000 0.0000
Si2 0.5000 0.5000 0.0000
Ni1 0.0000 0.5000 0.5000
Ni2 0.0666 0.7863 0.5000
Ni3 0.2137 0.0666 0.5000
Ni4 0.2863 0.5666 0.5000
Ni5 0.4334 0.2863 0.5000
Ni6 0.5000 0.0000 0.5000
Ni7 0.5666 0.7137 0.5000
Ni8 0.7137 0.4334 0.5000
Ni9 0.7863 0.9334 0.5000
Ni10 0.9334 0.2137 0.5000
B1 0.1255 0.6255 0.0000
B2 0.3745 0.1255 0.0000
B3 0.6255 0.8745 0.0000
B4 0.8745 0.3745 0.0000


Compound: Ce12Si6Ir
Source: Alexandria
Functional: PBE
Structure: relaxed

Output
ΔE_f (raw)	-0.40	eV per atom
crystal system	trigonal

Unit cell a=7.7977 b=7.7977 c=7.7977 alpha=94.82 beta=94.82 gamma=94.82
Fractional positions:
Ce1 0.0338 0.9283 0.6630
Ce2 0.0717 0.3370 0.9662
Ce3 0.1522 0.4152 0.5186
Ce4 0.3370 0.9662 0.0717
Ce5 0.4152 0.5186 0.1522
Ce6 0.4814 0.8478 0.5848
Ce7 0.5186 0.1522 0.4152
Ce8 0.5848 0.4814 0.8478
Ce9 0.6630 0.0338 0.9283
Ce10 0.8478 0.5848 0.4814
Ce11 0.9283 0.6630 0.0338
Ce12 0.9662 0.0717 0.3370
Si1 0.1712 0.7594 0.3369
Si2 0.2406 0.6631 0.8288
Si3 0.3369 0.1712 0.7594
Si4 0.6631 0.8288 0.2406
Si5 0.7594 0.3369 0.1712
Si6 0.8288 0.2406 0.6631
Ir1 0.5000 0.5000 0.5000